Density functional theory data (PBE) for an optimized crystal structure of Pr3Sn3PdPt2.

Computed properties:
The value obtained for the calculated volume is 23.707 A^3/atom. The raw total energy is -5.85 eV/atom. Its space group is No. 189.

abc: 7.673 7.673 4.185
angles: 90.00 90.00 120.00
Fractional coordinates of all 9 atoms:
Pd (0.000, 0.000, 0.000)
Pr (0.411, 0.000, 0.000)
Pr (0.000, 0.411, 0.000)
Pr (0.589, 0.589, 0.000)
Pt (0.667, 0.333, 0.500)
Pt (0.333, 0.667, 0.500)
Sn (0.749, 0.000, 0.500)
Sn (0.251, 0.251, 0.500)
Sn (0.000, 0.749, 0.500)

---

Density functional theory data (PBE) for an optimized crystal structure of Er3Al3GeIr2.

Computed properties:
The value obtained for the calculated volume is 19.204 A^3/atom. Its space group is No. 189. As for the energy relative to the lowest polymorph listed for this composition: 395.7 meV per atom.

abc: 7.956 7.956 3.153
angles: 90.00 90.00 120.00
Fractional coordinates of all 9 atoms:
Al (0.384, 0.000, 0.500)
Al (0.000, 0.384, 0.500)
Al (0.616, 0.616, 0.500)
Er (0.707, 0.000, 0.000)
Er (0.293, 0.293, 0.000)
Er (0.000, 0.707, 0.000)
Ge (0.000, 0.000, 0.500)
Ir (0.667, 0.333, 0.000)
Ir (0.333, 0.667, 0.000)

---

Density functional theory data (PBE) for an optimized crystal structure of Pr2GdMg3Zn3.

Computed properties:
The value obtained for the calculated volume is 24.053 A^3/atom. The raw total energy is -2.78 eV/atom. Its space group is No. 38.

abc: 4.645 7.341 7.341
angles: 120.14 90.00 90.00
Fractional coordinates of all 9 atoms:
Gd (0.000, 0.420, 0.420)
Mg (0.500, 0.241, 0.002)
Mg (0.500, 0.002, 0.241)
Mg (0.500, 0.759, 0.759)
Pr (0.000, 0.997, 0.580)
Pr (0.000, 0.580, 0.997)
Zn (0.000, 0.006, 0.006)
Zn (0.500, 0.662, 0.334)
Zn (0.500, 0.334, 0.662)

---

Density functional theory data (PBE) for an optimized crystal structure of Tm2TaFeSi2.

Computed properties:
The value obtained for the calculated volume is 18.532 A^3/atom. The raw total energy is -7.22 eV/atom. Its space group is No. 115.

abc: 3.886 3.886 7.365
angles: 90.00 90.00 90.00
Fractional coordinates of all 6 atoms:
Fe (0.000, 0.000, 0.000)
Si (0.000, 0.500, 0.233)
Si (0.500, 0.000, 0.767)
Ta (0.500, 0.500, 0.000)
Tm (0.500, 0.000, 0.350)
Tm (0.000, 0.500, 0.650)

---

Density functional theory data (PBE) for an optimized crystal structure of Nd3Mg3Cd2Au.

Computed properties:
The value obtained for the calculated volume is 25.945 A^3/atom. The raw total energy is -3.05 eV/atom. Its space group is No. 189.

abc: 7.536 7.536 4.748
angles: 90.00 90.00 120.00
Fractional coordinates of all 9 atoms:
Au (0.000, 0.000, 0.000)
Cd (0.667, 0.333, 0.500)
Cd (0.333, 0.667, 0.500)
Mg (0.768, 0.000, 0.500)
Mg (0.232, 0.232, 0.500)
Mg (0.000, 0.768, 0.500)
Nd (0.412, 0.000, 0.000)
Nd (0.000, 0.412, 0.000)
Nd (0.588, 0.588, 0.000)

---

Density functional theory data (PBE) for an optimized crystal structure of LaHf.

Computed properties:
The value obtained for the calculated volume is 27.445 A^3/atom. Its formation energy is 0.60 eV/f.u. Its space group is No. 187. As for the energy relative to the lowest polymorph listed for this composition: 0.0 meV per atom.

abc: 3.348 3.348 5.653
angles: 90.00 90.00 120.00
Fractional coordinates of all 2 atoms:
Hf (0.667, 0.333, 0.750)
La (0.333, 0.667, 0.250)

---

Density functional theory data (PBE) for an optimized crystal structure of CuSn5Au3.

Computed properties:
The value obtained for the calculated volume is 25.565 A^3/atom. The raw total energy is -3.52 eV/atom. Its space group is No. 191.

abc: 5.656 5.656 8.304
angles: 90.00 90.00 120.00
Fractional coordinates of all 9 atoms:
Au (0.500, 0.000, 0.500)
Au (0.000, 0.500, 0.500)
Au (0.500, 0.500, 0.500)
Cu (0.000, 0.000, 0.000)
Sn (0.667, 0.333, 0.186)
Sn (0.333, 0.667, 0.186)
Sn (0.000, 0.000, 0.500)
Sn (0.667, 0.333, 0.814)
Sn (0.333, 0.667, 0.814)

---

Density functional theory data (PBE) for an optimized crystal structure of Te2Os.

Computed properties:
The value obtained for the calculated volume is 22.432 A^3/atom. The raw total energy is -5.91 eV/atom. Its space group is No. 205.

abc: 6.457 6.457 6.457
angles: 90.00 90.00 90.00
Fractional coordinates of all 12 atoms:
Os (0.000, 0.000, 0.000)
Os (0.500, 0.500, 0.000)
Os (0.500, 0.000, 0.500)
Os (0.000, 0.500, 0.500)
Te (0.872, 0.372, 0.128)
Te (0.628, 0.872, 0.128)
Te (0.372, 0.372, 0.372)
Te (0.128, 0.872, 0.372)
Te (0.872, 0.128, 0.628)
Te (0.628, 0.628, 0.628)
Te (0.372, 0.128, 0.872)
Te (0.128, 0.628, 0.872)

---

Density functional theory data (PBE) for an optimized crystal structure of K2RbOsF7.

Computed properties:
The value obtained for the calculated volume is 16.017 A^3/atom. The raw total energy is -4.71 eV/atom. Its space group is No. 8.

abc: 5.746 5.746 6.364
angles: 112.87 112.87 88.95
Fractional coordinates of all 11 atoms:
F (0.865, 0.865, 0.208)
F (0.981, 0.309, 0.216)
F (0.309, 0.981, 0.216)
F (0.662, 0.662, 0.752)
F (0.650, 0.085, 0.772)
F (0.085, 0.650, 0.772)
F (0.115, 0.115, 0.813)
K (0.761, 0.243, 0.497)
K (0.243, 0.761, 0.497)
Os (0.956, 0.956, 0.967)
Rb (0.496, 0.496, 0.039)

---

Density functional theory data (PBE) for an optimized crystal structure of Y3Mg3Hg2Ir.

Computed properties:
The value obtained for the calculated volume is 23.539 A^3/atom. The raw total energy is -4.20 eV/atom. Its space group is No. 189.

abc: 7.528 7.528 4.317
angles: 90.00 90.00 120.00
Fractional coordinates of all 9 atoms:
Hg (0.667, 0.333, 0.500)
Hg (0.333, 0.667, 0.500)
Ir (0.000, 0.000, 0.000)
Mg (0.766, 0.000, 0.500)
Mg (0.234, 0.234, 0.500)
Mg (0.000, 0.766, 0.500)
Y (0.389, 0.000, 0.000)
Y (0.000, 0.389, 0.000)
Y (0.611, 0.611, 0.000)

---

Density functional theory data (PBE) for an optimized crystal structure of AcTmSn.

Computed properties:
The value obtained for the calculated volume is 39.520 A^3/atom. Its space group is No. 216. As for the energy relative to the lowest polymorph listed for this composition: 619.8 meV per atom.

abc: 5.514 5.514 5.514
angles: 60.00 60.00 60.00
Fractional coordinates of all 3 atoms:
Ac (0.000, 0.000, 0.000)
Sn (0.250, 0.250, 0.250)
Tm (0.750, 0.750, 0.750)

---

Density functional theory data (PBE) for an optimized crystal structure of Er3Ga10Ni.

Computed properties:
The value obtained for the calculated volume is 18.838 A^3/atom. The raw total energy is -4.01 eV/atom. Its space group is No. 47.

abc: 4.105 4.214 15.243
angles: 90.00 90.00 90.00
Fractional coordinates of all 14 atoms:
Er (0.000, 0.000, 0.251)
Er (0.000, 0.500, 0.500)
Er (0.000, 0.000, 0.749)
Ga (0.000, 0.500, 0.086)
Ga (0.500, 0.000, 0.088)
Ga (0.500, 0.500, 0.188)
Ga (0.500, 0.500, 0.345)
Ga (0.500, 0.000, 0.421)
Ga (0.500, 0.000, 0.579)
Ga (0.500, 0.500, 0.655)
Ga (0.500, 0.500, 0.812)
Ga (0.500, 0.000, 0.912)
Ga (0.000, 0.500, 0.914)
Ni (0.000, 0.000, 0.000)